Below is a relaxed structure of Sb, with properties calculated at the PBEsol level.

Cell: 3.062 3.062 3.062 Å, 90.00 90.00 90.00°
Atoms (fractional coordinates):
1 Sb 0.000 0.000 0.000

Crystal system   cubic
E_form (uncorrected)   0.022 eV per atom

***

Below is a relaxed structure of CaMgSe2N, with properties calculated at the PBEsol level.

Cell: 4.376 5.390 5.390 Å, 90.00 90.00 90.00°
Each line ends with the local moment (μB).
Atoms (fractional coordinates):
1 Ca 0.000 0.000 0.000  0.04
2 Mg 0.500 0.500 0.500  0.00
3 Se 0.000 0.000 0.500  0.17
4 Se 0.000 0.500 0.000  0.17
5 N 0.500 0.000 0.000  1.37

Crystal system   tetragonal
E_form (uncorrected)   0.312 eV per atom

***

Below is a relaxed structure of CeCd20Pd2, with properties calculated at the PBEsol level.

Cell: 10.982 10.982 10.982 Å, 60.00 60.00 60.00°
Each line ends with the local moment (μB).
Atoms (fractional coordinates):
1 Ce 0.000 0.000 0.000  0.79
2 Ce 0.250 0.250 0.250  0.79
3 Cd 0.327 0.802 0.802  0.00
4 Cd 0.802 0.327 0.068  0.00
5 Cd 0.802 0.068 0.327  0.00
6 Cd 0.068 0.802 0.802  0.00
7 Cd 0.327 0.068 0.802  0.00
8 Cd 0.802 0.802 0.327  0.00
9 Cd 0.802 0.802 0.068  0.00
10 Cd 0.068 0.327 0.802  0.00
11 Cd 0.327 0.802 0.068  0.00
12 Cd 0.802 0.068 0.802  0.00
13 Cd 0.802 0.327 0.802  0.00
14 Cd 0.068 0.802 0.327  0.00
15 Cd 0.923 0.448 0.448  0.00
16 Cd 0.448 0.923 0.182  0.00
17 Cd 0.448 0.182 0.923  0.00
18 Cd 0.182 0.448 0.448  0.00
19 Cd 0.923 0.182 0.448  0.00
20 Cd 0.448 0.448 0.923  0.00
21 Cd 0.448 0.448 0.182  0.00
22 Cd 0.182 0.923 0.448  0.00
23 Cd 0.923 0.448 0.182  0.00
24 Cd 0.448 0.182 0.448  0.00
25 Cd 0.448 0.923 0.448  0.00
26 Cd 0.182 0.448 0.923  0.00
27 Cd 0.638 0.638 0.362  0.00
28 Cd 0.362 0.362 0.638  0.00
29 Cd 0.638 0.362 0.638  0.00
30 Cd 0.362 0.638 0.362  0.00
31 Cd 0.638 0.362 0.362  0.00
32 Cd 0.362 0.638 0.638  0.00
33 Cd 0.612 0.612 0.888  0.00
34 Cd 0.888 0.888 0.612  0.00
35 Cd 0.612 0.888 0.612  0.00
36 Cd 0.888 0.612 0.888  0.00
37 Cd 0.612 0.888 0.888  0.00
38 Cd 0.888 0.612 0.612  0.00
39 Cd 0.125 0.125 0.125  0.01
40 Cd 0.125 0.125 0.625  0.01
41 Cd 0.125 0.625 0.125  0.01
42 Cd 0.625 0.125 0.125  0.01
43 Pd 0.625 0.625 0.625  0.00
44 Pd 0.625 0.625 0.125  0.00
45 Pd 0.625 0.125 0.625  0.00
46 Pd 0.125 0.625 0.625  0.00

Energy of formation from the pure elements   -0.176 eV per atom
Crystal system   cubic

***

Below is a relaxed structure of Li2SiSe, with properties calculated at the PBEsol level.

Cell: 3.342 3.342 8.280 Å, 78.36 78.36 60.00°
Atoms (fractional coordinates):
1 Si 0.240 0.240 0.281
2 Se 0.508 0.508 0.477
3 Li 0.989 0.989 0.034
4 Li 0.764 0.764 0.707

Crystal system   trigonal
E_form (uncorrected)   -0.175 eV per atom

***

Below is a relaxed structure of Cs2As2Pt, with properties calculated at the PBEsol level.

Cell: 6.373 6.859 8.242 Å, 65.41 90.00 90.00°
Atoms (fractional coordinates):
1 Cs 0.750 0.794 0.412
2 Cs 0.250 0.206 0.588
3 Cs 0.750 0.415 0.170
4 Cs 0.250 0.585 0.830
5 As 0.250 0.723 0.200
6 As 0.750 0.277 0.800
7 As 0.750 0.923 0.800
8 As 0.250 0.077 0.200
9 Pt 0.000 0.000 0.000
10 Pt 0.500 0.000 0.000

Energy of formation from the pure elements   -0.504 eV per atom
Crystal system   orthorhombic

***

Below is a relaxed structure of LiHgSe2, with properties calculated at the PBEsol level.

Cell: 3.083 4.155 6.921 Å, 90.00 90.00 90.00°
Atoms (fractional coordinates):
1 Hg 0.000 0.000 0.463
2 Li 0.500 0.500 0.912
3 Se 0.000 0.000 0.837
4 Se 0.500 0.500 0.288

Crystal system   orthorhombic
E_form (uncorrected)   -0.423 eV per atom

***

Below is a relaxed structure of MgTl2Cd, with properties calculated at the PBEsol level.

Cell: 5.178 5.178 5.178 Å, 60.00 60.00 60.00°
Atoms (fractional coordinates):
1 Tl 0.250 0.250 0.250
2 Tl 0.750 0.750 0.750
3 Mg 0.500 0.500 0.500
4 Cd 0.000 0.000 0.000

Energy of formation from the pure elements   0.007 eV per atom
Crystal system   cubic

***

Below is a relaxed structure of K2Hg2Pb, with properties calculated at the PBEsol level.

Cell: 5.455 7.790 7.790 Å, 90.00 90.00 90.00°
Atoms (fractional coordinates):
1 Pb 0.000 0.000 0.000
2 Pb 0.000 0.500 0.500
3 K 0.500 0.177 0.677
4 K 0.500 0.677 0.823
5 K 0.500 0.823 0.323
6 K 0.500 0.323 0.177
7 Hg 0.000 0.366 0.866
8 Hg 0.000 0.866 0.634
9 Hg 0.000 0.634 0.134
10 Hg 0.000 0.134 0.366

Energy of formation from the pure elements   -0.168 eV per atom
Crystal system   tetragonal

***

no.,calculated density (g/cm³)
1,7.044
2,3.087
3,9.223
4,2.578
5,6.192
6,6.844
7,9.228
8,6.888